1.
First-principles (GGA-PBEsol) data for a relaxed structure of KHf2AlTc, as listed in Alexandria via LeMat-Bulk.

It has space group P4/mmm (No. 123), with a = 4.5737 Å, b = 4.5737 Å, c = 4.7817 Å, α = 90.00°, β = 90.00° and γ = 90.00°. Symmetry generates all atoms from K at (0.0000, 0.0000, 0.0000), Hf at (0.0000, 0.5000, 0.0000), Al at (0.0000, 0.0000, 0.5000) and Tc at (0.5000, 0.5000, 0.5000).

Its energy relative to the elements is 2419 meV per atom.

***

2.
First-principles (GGA-PBEsol) data for a relaxed structure of LaHf3Al, as listed in Alexandria via LeMat-Bulk.

It has space group Pm-3m (No. 221), with a = 5.0278 Å, b = 5.0278 Å, c = 5.0278 Å, α = 90.00°, β = 90.00° and γ = 90.00°. Symmetry generates all atoms from La at (0.0000, 0.0000, 0.0000), Hf at (0.0000, 0.0000, 0.5000) and Al at (0.5000, 0.5000, 0.5000).

Its energy relative to the elements is 1546 meV per atom.

***

3.
First-principles (GGA-PBEsol) data for a relaxed structure of LaHfZrAl2, as listed in Alexandria via LeMat-Bulk.

It has space group P4/mmm (No. 123), with a = 5.2035 Å, b = 5.2035 Å, c = 4.9188 Å, α = 90.00°, β = 90.00° and γ = 90.00°. Symmetry generates all atoms from La at (0.0000, 0.0000, 0.0000), Hf at (0.5000, 0.5000, 0.5000), Zr at (0.5000, 0.5000, 0.0000) and Al at (0.0000, 0.5000, 0.5000).

Its energy relative to the elements is 449 meV per atom.

***

4.
First-principles (GGA-PBEsol) data for a relaxed structure of LiHfAl3, as listed in Alexandria via LeMat-Bulk.

It has space group Pm-3m (No. 221), with a = 5.2120 Å, b = 5.2120 Å, c = 5.2120 Å, α = 90.00°, β = 90.00° and γ = 90.00°. Symmetry generates all atoms from Li at (0.0000, 0.0000, 0.0000), Hf at (0.5000, 0.5000, 0.5000) and Al at (0.0000, 0.5000, 0.5000).

Its energy relative to the elements is 838 meV per atom.